10
Lattice="6.0775 0.0004 0.0000 0.0003 6.0774 -0.0001 3.0389 3.0389 4.2968" Properties=species:S:1:pos:R:3 comment="Cs2PaTaO6 | the Alexandria database | PBE | optimized geometry" formation_energy_uncorrected_ev_per_atom=-2.73 magmom_total_mub_per_cell=0.00 dos_at_fermi_per_ev_cell=0.00 pbc="T T T"
Cs 3.0392 6.0774 2.1483
Cs 6.0774 3.0393 2.1483
O 1.5886 4.4892 -0.0001
O 3.0388 3.0388 2.0512
O 6.0779 6.0779 2.2455
O 1.5887 1.5888 0.0000
O 7.5279 7.5279 4.2967
O 4.4892 1.5886 0.0000
Pa 0.0000 0.0000 0.0000
Ta 3.0389 3.0389 -0.0001